# 1
{
  "formula": "AgBBr",
  "functional": "GGA-PBE",
  "state": "optimized geometry",
  "lattice": [[6.286, 0.000, 0.000], [0.000, 6.110, -1.439], [0.000, -1.131, 8.743]],
  "species": ["Ag", "Ag", "Ag", "Ag", "B", "B", "B", "B", "Br", "Br", "Br", "Br"],
  "frac_coords": [[0.250, 0.750, 0.000], [0.750, 0.750, 0.000], [0.750, 0.250, 0.000], [0.250, 0.250, 0.000], [0.500, 0.953, 0.905], [0.000, 0.547, 0.095], [0.500, 0.047, 0.095], [0.000, 0.453, 0.905], [0.000, 0.663, 0.329], [0.500, 0.837, 0.671], [0.000, 0.337, 0.671], [0.500, 0.163, 0.329]],
  "raw_formation_energy_ev_per_atom": 0.156,
  "total_energy_ev_per_atom": -3.578,
  "m_tot_mub_per_fu": 0.00
}

---

# 2
{
  "formula": "Th3Zr2Sb4",
  "functional": "GGA-PBE",
  "state": "optimized geometry",
  "lattice": [[-3.648, 2.192, -0.556], [0.338, -5.162, -5.999], [-2.671, -2.078, 9.326]],
  "species": ["Th", "Th", "Th", "Zr", "Zr", "Sb", "Sb", "Sb", "Sb"],
  "frac_coords": [[0.640, 0.280, 0.712], [0.000, 0.000, 0.000], [0.360, 0.720, 0.288], [0.681, 0.361, 0.358], [0.319, 0.639, 0.642], [0.673, 0.346, 0.059], [0.327, 0.654, 0.941], [0.934, 0.868, 0.602], [0.066, 0.132, 0.398]],
  "raw_formation_energy_ev_per_atom": -0.728,
  "total_energy_ev_per_atom": -6.933,
  "m_tot_mub_per_fu": 0.00
}

---

# 3
{
  "formula": "Sr2Li4Al5",
  "functional": "GGA-PBE",
  "state": "optimized geometry",
  "lattice": [[5.771, 0.000, 0.000], [2.886, 6.351, -0.484], [2.886, 1.117, 6.212]],
  "species": ["Sr", "Sr", "Li", "Li", "Li", "Li", "Al", "Al", "Al", "Al", "Al"],
  "frac_coords": [[0.299, 0.703, 0.699], [0.701, 0.297, 0.301], [0.244, 0.097, 0.415], [0.756, 0.903, 0.585], [0.757, 0.580, 0.907], [0.243, 0.420, 0.093], [0.247, 0.186, 0.814], [0.753, 0.814, 0.186], [0.000, 0.500, 0.500], [0.753, 0.186, 0.814], [0.247, 0.814, 0.186]],
  "e_form_ev_per_atom": -0.079,
  "total_energy_ev_per_atom": -2.782,
  "m_tot_mub_per_fu": 0.00
}

---

# 4
{
  "formula": "Y2CrCoH",
  "functional": "GGA-PBE",
  "state": "optimized geometry",
  "lattice": [[-4.225, -1.164, -2.905], [0.775, -3.224, 0.165], [-2.879, -0.469, 4.375]],
  "species": ["Y", "Y", "Cr", "Co", "H"],
  "frac_coords": [[0.000, 0.000, 0.500], [0.500, 0.000, 0.000], [0.000, 0.000, 0.000], [0.500, 0.500, 0.500], [0.000, 0.500, 0.000]],
  "total_energy_ev_per_atom": -6.035,
  "m_tot_mub_per_fu": 2.64
}

---

# 5
{
  "formula": "Sr2TbTaN4",
  "functional": "GGA-PBE",
  "state": "optimized geometry",
  "lattice": [[-6.287, -1.932, -2.333], [-1.942, -1.470, 6.540], [2.634, 6.372, -1.621]],
  "species": ["Sr", "Sr", "Sr", "Sr", "Tb", "Tb", "Ta", "Ta", "N", "N", "N", "N", "N", "N", "N", "N"],
  "frac_coords": [[0.500, 0.000, 0.000], [0.500, 0.000, 0.500], [0.000, 0.000, 0.500], [0.500, 0.500, 0.000], [0.000, 0.500, 0.000], [0.000, 0.500, 0.500], [0.500, 0.500, 0.500], [0.000, 0.000, 0.000], [0.200, 0.768, 0.984], [0.732, 0.300, 0.516], [0.268, 0.700, 0.484], [0.800, 0.232, 0.016], [0.755, 0.745, 0.957], [0.755, 0.745, 0.543], [0.245, 0.255, 0.457], [0.245, 0.255, 0.043]],
  "raw_formation_energy_ev_per_atom": -1.090,
  "total_energy_ev_per_atom": -7.733,
  "m_tot_mub_per_fu": 0.00
}

---

# 6
{
  "formula": "Zn2Rh3",
  "functional": "GGA-PBE",
  "state": "optimized geometry",
  "lattice": [[2.352, 2.272, 2.525], [-3.594, 1.499, -1.382], [-2.425, -2.038, 4.093]],
  "species": ["Zn", "Zn", "Rh", "Rh", "Rh"],
  "frac_coords": [[0.667, 0.333, 0.160], [0.333, 0.667, 0.840], [0.000, 0.000, 0.000], [0.667, 0.333, 0.645], [0.333, 0.667, 0.355]],
  "polymorph_energy_mev_per_atom": 335.5,
  "e_form_ev_per_atom": 0.077,
  "total_energy_ev_per_atom": -4.843,
  "m_tot_mub_per_fu": 0.51
}